# 1
# PBE Li2Nb2AlGaFe2, relaxed
data_Li2Nb2AlGaFe2
_cell_length_a 4.2244
_cell_length_b 4.2244
_cell_length_c 5.9755
_cell_angle_alpha 90.00
_cell_angle_beta 90.00
_cell_angle_gamma 90.00
_space_group_name_H-M_alt 'P -4 m 2'
_space_group_IT_number 115
_space_group_name_Hall 'P -4 -2'
loop_
_atom_site_label
_atom_site_type_symbol
_atom_site_fract_x
_atom_site_fract_y
_atom_site_fract_z
Li1 Li 0.0000 0.5000 0.2476
Nb1 Nb 0.0000 0.0000 0.5000
Nb2 Nb 0.5000 0.5000 0.0000
Al1 Al 0.5000 0.5000 0.5000
Ga1 Ga 0.0000 0.0000 0.0000
Fe1 Fe 0.0000 0.5000 0.7477
# Theoretical density (g/cm3): 6.355
# Final energy (eV/atom): -6.114

=====

# 2
# PBE PmTmNO, relaxed
data_PmTmNO
_cell_length_a 4.0567
_cell_length_b 6.8518
_cell_length_c 4.9539
_cell_angle_alpha 90.00
_cell_angle_beta 90.00
_cell_angle_gamma 90.00
_space_group_name_H-M_alt 'P m c 21'
_space_group_IT_number 26
_space_group_name_Hall 'P 2c -2'
loop_
_atom_site_label
_atom_site_type_symbol
_atom_site_fract_x
_atom_site_fract_y
_atom_site_fract_z
Pm1 Pm 0.0000 0.1628 0.0000
Tm1 Tm 0.5000 0.3255 0.5001
N1 N 0.0000 0.1868 0.5003
O1 O 0.5000 0.3524 0.9989
# Theoretical density (g/cm3): 8.295
# ΔE to the lowest computed polymorph (meV/atom): 50
# Final energy (eV/atom): -7.775

=====

# 3
# PBE PmAsN2O, relaxed
data_PmAsN2O
_cell_length_a 7.9209
_cell_length_b 7.4656
_cell_length_c 11.1001
_cell_angle_alpha 90.00
_cell_angle_beta 134.47
_cell_angle_gamma 90.00
_space_group_name_H-M_alt 'P 1 21/c 1'
_space_group_IT_number 14
_space_group_name_Hall '-P 2ybc'
loop_
_atom_site_label
_atom_site_type_symbol
_atom_site_fract_x
_atom_site_fract_y
_atom_site_fract_z
Pm1 Pm 0.0016 0.2490 0.4877
Pm2 Pm 0.4934 0.2343 0.9833
As1 As 0.0399 0.5032 0.7791
As2 As 0.4772 0.0015 0.2557
N1 N 0.0825 0.7446 0.2739
N2 N 0.2135 0.0465 0.2215
N3 N 0.2810 0.0513 0.5092
N4 N 0.4203 0.7495 0.1925
O1 O 0.2034 0.0430 0.7276
O2 O 0.3000 0.0378 0.0229
# Theoretical density (g/cm3): 7.485
# Final energy (eV/atom): -7.007

=====

# 4
# PBE TaTe2, relaxed
data_TaTe2
_cell_length_a 3.5470
_cell_length_b 6.7208
_cell_length_c 13.7697
_cell_angle_alpha 90.00
_cell_angle_beta 90.00
_cell_angle_gamma 90.00
_space_group_name_H-M_alt 'P m n 21'
_space_group_IT_number 31
_space_group_name_Hall 'P 2ac -2'
loop_
_atom_site_label
_atom_site_type_symbol
_atom_site_fract_x
_atom_site_fract_y
_atom_site_fract_z
Ta1 Ta 0.0000 0.0379 0.0000
Ta2 Ta 0.0000 0.5922 0.4921
Te1 Te 0.0000 0.2081 0.3907
Te2 Te 0.0000 0.3019 0.8436
Te3 Te 0.0000 0.6547 0.1003
Te4 Te 0.0000 0.8551 0.6485
# Theoretical density (g/cm3): 8.825
# Final energy (eV/atom): -6.386

=====

# 5
# PBE La2Mg4FeCu, relaxed
data_La2Mg4FeCu
_cell_length_a 8.3209
_cell_length_b 4.3181
_cell_length_c 10.1785
_cell_angle_alpha 90.00
_cell_angle_beta 90.00
_cell_angle_gamma 90.00
_space_group_name_H-M_alt 'A m m 2'
_space_group_IT_number 38
_space_group_name_Hall 'A 2 -2'
loop_
_atom_site_label
_atom_site_type_symbol
_atom_site_fract_x
_atom_site_fract_y
_atom_site_fract_z
La1 La 0.0000 0.0000 0.0000
La2 La 0.5000 0.0000 0.1128
Mg1 Mg 0.1984 0.0000 0.7115
Mg2 Mg 0.3061 0.0000 0.4050
Fe1 Fe 0.5000 0.0000 0.8377
Cu1 Cu 0.0000 0.0000 0.2899
# Theoretical density (g/cm3): 4.490
# Final energy (eV/atom): -3.573

=====

# 6
# PBE DyErSiGeOs, relaxed
data_DyErSiGeOs
_cell_length_a 10.7574
_cell_length_b 4.2819
_cell_length_c 9.9714
_cell_angle_alpha 90.00
_cell_angle_beta 118.62
_cell_angle_gamma 90.00
_space_group_name_H-M_alt 'C 1 2/m 1'
_space_group_IT_number 12
_space_group_name_Hall '-C 2y'
loop_
_atom_site_label
_atom_site_type_symbol
_atom_site_fract_x
_atom_site_fract_y
_atom_site_fract_z
Dy1 Dy 0.0070 0.0000 0.1807
Er1 Er 0.1821 0.0000 0.6093
Si1 Si 0.0035 0.5000 0.3769
Ge1 Ge 0.1432 0.5000 0.0627
Os1 Os 0.2255 0.5000 0.8643
# Theoretical density (g/cm3): 10.226
# ΔE to the lowest computed polymorph (meV/atom): 117
# Final energy (eV/atom): -6.782